DFT (PBE) results for crystalline BaTiO3 at its relaxed geometry.

a = 4.076 Å, b = 4.076 Å, c = 4.076 Å
α = 89.70°, β = 89.70°, γ = 89.70°
Fractional positions:
Ba: 0.000 0.000 0.000
Ti: 0.485 0.485 0.485
O: 0.027 0.516 0.516
O: 0.516 0.027 0.516
O: 0.516 0.516 0.027

**N(E_F)**: 0.000 states/eV/atom
**E**: -40.1 eV for the cell shown
**ΔE_f (raw)**: -3072 meV/atom
**SG**: No. 160